# 1
! YTaIn2 (PBE, optimized geometry); values from VASP
&SYSTEM
  ibrav = 0, nat = 4, ntyp = 3
/
ATOMIC_SPECIES
Y 88.91 Y.upf
Ta 180.95 Ta.upf
In 114.82 In.upf
CELL_PARAMETERS angstrom
1.6087 0.9288 10.3548
-1.6087 0.9288 10.3548
0.0000 -1.8576 10.3548
ATOMIC_POSITIONS angstrom
Y 0.0000 0.0000 0.0000
Ta 0.0000 0.0000 15.5322
In 0.0000 0.0000 7.5881
In 0.0000 0.0000 23.4762
! - N(E_F): 4.7 states/eV/f.u.
! - Formation enthalpy at 0 K: 0.096 eV per atom
! - Raw total energy: -5.852 eV per atom
! - Total magnetic moment: 0.00 μB per formula unit

***

# 2
! CsNa2Sr2 (PBE, optimized geometry); values from VASP
&SYSTEM
  ibrav = 0, nat = 5, ntyp = 3
/
ATOMIC_SPECIES
Cs 132.91 Cs.upf
Na 22.99 Na.upf
Sr 87.62 Sr.upf
CELL_PARAMETERS angstrom
-2.2829 2.2829 14.0594
2.2829 -2.2829 14.0594
2.2829 2.2829 -14.0594
ATOMIC_POSITIONS angstrom
Cs 0.0000 0.0000 0.0000
Na 2.2829 0.0000 7.0297
Na 0.0000 2.2829 7.0297
Sr 0.0000 0.0000 10.3502
Sr 0.0000 0.0000 17.7687
! - N(E_F): 5.7 states/eV/f.u.
! - Formation enthalpy at 0 K: 0.176 eV per atom
! - Raw total energy: -1.195 eV per atom
! - Total magnetic moment: 0.00 μB per formula unit

***

# 3
! HoEr5TmSc2 (PBE, optimized geometry); values from VASP
&SYSTEM
  ibrav = 0, nat = 18, ntyp = 4
/
ATOMIC_SPECIES
Ho 164.93 Ho.upf
Er 167.26 Er.upf
Tm 168.93 Tm.upf
Sc 44.96 Sc.upf
CELL_PARAMETERS angstrom
2.7662 -10.5779 0.0000
2.7662 10.5779 0.0000
0.0000 0.0000 9.2473
ATOMIC_POSITIONS angstrom
Ho 2.7662 6.6605 4.6237
Ho 2.7662 -6.6605 0.0000
Er 2.7662 10.3243 4.5870
Er 2.7662 4.9771 7.5632
Er 2.7662 4.0966 1.8672
Er 2.7662 2.2918 4.9058
Er 2.7662 0.6597 2.1408
Er 2.7662 -0.6597 6.7645
Er 2.7662 -2.2918 0.2821
Er 2.7662 -4.0966 6.4909
Er 2.7662 -4.9771 2.9396
Er 2.7662 -10.3243 9.2106
Tm 2.7662 2.0790 8.3647
Tm 2.7662 -2.0790 3.7411
Sc 2.7662 8.1852 7.4615
Sc 2.7662 7.7269 1.6986
Sc 2.7662 -7.7269 6.3223
Sc 2.7662 -8.1852 2.8379
! - N(E_F): 13.9 states/eV/f.u.
! - Formation enthalpy at 0 K: 0.169 eV per atom
! - Raw total energy: -4.779 eV per atom
! - Total magnetic moment: 0.00 μB per formula unit

***

# 4
! RbZrAl2Cl (PBE, optimized geometry); values from VASP
&SYSTEM
  ibrav = 0, nat = 5, ntyp = 4
/
ATOMIC_SPECIES
Rb 85.47 Rb.upf
Zr 91.22 Zr.upf
Al 26.98 Al.upf
Cl 35.45 Cl.upf
CELL_PARAMETERS angstrom
5.8717 0.0000 0.0000
0.0000 5.8717 0.0000
0.0000 0.0000 5.4383
ATOMIC_POSITIONS angstrom
Rb 0.0000 0.0000 0.0000
Zr 0.0000 0.0000 2.7191
Al 0.0000 2.9359 0.0000
Al 2.9359 0.0000 0.0000
Cl 2.9359 2.9359 2.7191
! - N(E_F): 5.0 states/eV/f.u.
! - Raw total energy: -1.964 eV per atom
! - Energy relative to the elements, uncorrected: 1.81 eV/atom
! - Total magnetic moment: 0.82 μB per formula unit

***

# 5
! TaCr2Ag (PBE, optimized geometry); values from VASP
&SYSTEM
  ibrav = 0, nat = 4, ntyp = 3
/
ATOMIC_SPECIES
Ta 180.95 Ta.upf
Cr 52.00 Cr.upf
Ag 107.87 Ag.upf
CELL_PARAMETERS angstrom
2.9195 0.0000 0.0000
0.0000 2.9195 0.0000
0.0000 0.0000 7.1454
ATOMIC_POSITIONS angstrom
Ta 0.0000 0.0000 0.0000
Cr 0.0000 0.0000 4.1140
Cr 1.4598 1.4598 5.3276
Ag 1.4598 1.4598 2.1716
! - N(E_F): 3.4 states/eV/f.u.
! - Formation enthalpy at 0 K: 0.265 eV per atom
! - Raw total energy: -8.223 eV per atom
! - Total magnetic moment: 0.67 μB per formula unit

***

# 6
! Al2ZnPb (PBE, optimized geometry); values from VASP
&SYSTEM
  ibrav = 0, nat = 4, ntyp = 3
/
ATOMIC_SPECIES
Al 26.98 Al.upf
Zn 65.41 Zn.upf
Pb 207.20 Pb.upf
CELL_PARAMETERS angstrom
-1.6090 2.5825 5.0513
1.6090 -2.5825 5.0513
1.6090 2.5825 -5.0513
ATOMIC_POSITIONS angstrom
Al 0.0000 0.0000 2.2526
Al 0.0000 0.0000 7.8501
Zn 1.6090 0.0000 0.0000
Pb 0.0000 2.5825 0.0000
! - N(E_F): 1.6 states/eV/f.u.
! - Formation enthalpy at 0 K: 0.242 eV per atom
! - Raw total energy: -2.875 eV per atom
! - Total magnetic moment: 0.00 μB per formula unit

***

# 7
! CaFeAs2 (PBE, optimized geometry); values from VASP
&SYSTEM
  ibrav = 0, nat = 4, ntyp = 3
/
ATOMIC_SPECIES
Ca 40.08 Ca.upf
Fe 55.84 Fe.upf
As 74.92 As.upf
CELL_PARAMETERS angstrom
2.2539 -2.2590 0.0000
2.2539 2.2590 0.0000
0.0000 0.0000 7.1525
ATOMIC_POSITIONS angstrom
Ca 0.0000 0.0000 0.0000
Fe 0.0000 0.0000 3.5763
As 2.2539 0.0000 2.1467
As 2.2539 0.0000 5.0059
! - N(E_F): 1.8 states/eV/f.u.
! - Formation enthalpy at 0 K: -0.229 eV per atom
! - Raw total energy: -5.170 eV per atom
! - Total magnetic moment: 2.20 μB per formula unit

***

# 8
! Dy2IO6 (PBE, optimized geometry); values from VASP
&SYSTEM
  ibrav = 0, nat = 9, ntyp = 3
/
ATOMIC_SPECIES
Dy 162.50 Dy.upf
I 126.90 I.upf
O 16.00 O.upf
CELL_PARAMETERS angstrom
3.0572 1.7651 5.2337
-3.0572 1.7651 5.2337
0.0000 -3.5301 5.2337
ATOMIC_POSITIONS angstrom
Dy 0.0000 0.0000 3.1412
Dy 0.0000 0.0000 12.5599
I 0.0000 0.0000 0.0000
O -0.2741 -2.0259 3.9340
O -1.6175 1.2503 3.9340
O -1.8916 -0.7756 11.7671
O 1.8916 0.7756 3.9340
O 1.6175 -1.2503 11.7671
O 0.2741 2.0259 11.7671
! - N(E_F): 2.6 states/eV/f.u.
! - Raw total energy: -6.523 eV per atom
! - Energy relative to the elements, uncorrected: -2.02 eV/atom
! - Total magnetic moment: 0.00 μB per formula unit

***

# 9
! YCuS2 (PBE, optimized geometry); values from VASP
&SYSTEM
  ibrav = 0, nat = 8, ntyp = 3
/
ATOMIC_SPECIES
Y 88.91 Y.upf
Cu 63.55 Cu.upf
S 32.06 S.upf
CELL_PARAMETERS angstrom
-2.7806 2.7806 6.0613
2.7806 -2.7806 6.0613
2.7806 2.7806 -6.0613
ATOMIC_POSITIONS angstrom
Y 0.0000 0.0000 0.0000
Y 0.0000 2.7806 3.0306
Cu 2.7806 0.0000 3.0306
Cu 0.0000 0.0000 6.0613
S 1.3903 -1.1646 4.5459
S 1.6160 1.3903 1.5153
S 1.3903 3.9452 -1.5153
S 1.1646 1.3903 7.5766
! - N(E_F): 0.0 states/eV/f.u.
! - Raw total energy: -5.896 eV per atom
! - Energy relative to the elements, uncorrected: -1.19 eV/atom
! - Total magnetic moment: 0.00 μB per formula unit

***

# 10
! Te3Pd4Se (PBE, optimized geometry); values from VASP
&SYSTEM
  ibrav = 0, nat = 16, ntyp = 3
/
ATOMIC_SPECIES
Te 127.60 Te.upf
Pd 106.42 Pd.upf
Se 78.96 Se.upf
CELL_PARAMETERS angstrom
9.1779 0.0000 0.0000
0.0000 7.6347 0.0000
0.0000 0.0000 5.5519
ATOMIC_POSITIONS angstrom
Te 0.0000 1.2115 0.0000
Te 2.2467 2.5472 2.7376
Te 2.3422 5.0875 5.5136
Te 4.5889 6.4232 2.7759
Te 6.8357 5.0875 5.5136
Te 6.9311 2.5472 2.7376
Pd 0.0000 1.0282 2.7581
Pd 0.0000 6.2161 0.7948
Pd 2.1894 5.2432 2.6925
Pd 2.3996 2.3915 5.4684
Pd 4.5889 1.4186 3.5708
Pd 4.5889 6.6065 5.5341
Pd 6.7783 2.3915 5.4684
Pd 6.9885 5.2432 2.6925
Se 0.0000 6.2465 3.3534
Se 4.5889 1.3883 0.5775
! - N(E_F): 4.3 states/eV/f.u.
! - Raw total energy: -4.422 eV per atom
! - Energy relative to the elements, uncorrected: -0.21 eV/atom
! - Total magnetic moment: 0.00 μB per formula unit

***

# 11
! NdY2Ni (PBE, optimized geometry); values from VASP
&SYSTEM
  ibrav = 0, nat = 4, ntyp = 3
/
ATOMIC_SPECIES
Nd 144.24 Nd.upf
Y 88.91 Y.upf
Ni 58.69 Ni.upf
CELL_PARAMETERS angstrom
3.4612 0.0000 0.0000
0.0000 3.4612 0.0000
0.0000 0.0000 8.9087
ATOMIC_POSITIONS angstrom
Nd 0.0000 0.0000 0.0000
Y 1.7306 1.7306 2.8331
Y 1.7306 1.7306 6.0756
Ni 0.0000 0.0000 4.4543
! - N(E_F): 4.0 states/eV/f.u.
! - Formation enthalpy at 0 K: -0.165 eV per atom
! - Raw total energy: -6.034 eV per atom
! - Total magnetic moment: 0.00 μB per formula unit

***

# 12
! RbPaPtS4 (PBE, optimized geometry); values from VASP
&SYSTEM
  ibrav = 0, nat = 14, ntyp = 4
/
ATOMIC_SPECIES
Rb 85.47 Rb.upf
Pa 231.04 Pa.upf
Pt 195.08 Pt.upf
S 32.06 S.upf
CELL_PARAMETERS angstrom
6.5627 0.0000 0.0000
0.0000 6.1381 0.0000
-2.4541 0.0000 8.8348
ATOMIC_POSITIONS angstrom
Rb 1.4921 1.5345 0.3448
Rb 2.6165 4.6036 8.4900
Pa 0.2603 1.5345 4.8352
Pa 3.8484 4.6036 3.9996
Pt 0.6220 4.6036 3.4043
Pt 3.4867 1.5345 5.4305
S -1.5606 3.1474 6.1598
S -1.5606 6.0597 6.1598
S 2.4732 4.6036 1.7900
S 1.6132 4.6036 5.4560
S 2.4955 1.5345 3.3789
S 1.6355 1.5345 7.0448
S 5.6692 0.0784 2.6750
S 5.6692 2.9907 2.6750
! - N(E_F): 4.8 states/eV/f.u.
! - Raw total energy: -5.776 eV per atom
! - Energy relative to the elements, uncorrected: -1.06 eV/atom
! - Total magnetic moment: 0.00 μB per formula unit

***

# 13
! VZn2Ag (PBE, optimized geometry); values from VASP
&SYSTEM
  ibrav = 0, nat = 4, ntyp = 3
/
ATOMIC_SPECIES
V 50.94 V.upf
Zn 65.41 Zn.upf
Ag 107.87 Ag.upf
CELL_PARAMETERS angstrom
4.0357 0.0000 0.0000
0.0000 4.0357 0.0000
0.0000 0.0000 3.8066
ATOMIC_POSITIONS angstrom
V 0.0000 0.0000 0.0000
Zn 0.0000 2.0179 1.9033
Zn 2.0179 0.0000 1.9033
Ag 2.0179 2.0179 0.0000
! - N(E_F): 2.2 states/eV/f.u.
! - Formation enthalpy at 0 K: 0.140 eV per atom
! - Raw total energy: -3.489 eV per atom
! - Total magnetic moment: 1.98 μB per formula unit

***

# 14
! Ho3Si5S12 (PBE, optimized geometry); values from VASP
&SYSTEM
  ibrav = 0, nat = 80, ntyp = 3
/
ATOMIC_SPECIES
Ho 164.93 Ho.upf
Si 28.09 Si.upf
S 32.06 S.upf
CELL_PARAMETERS angstrom
-7.4421 7.4421 7.4421
7.4421 -7.4421 7.4421
7.4421 7.4421 -7.4421
ATOMIC_POSITIONS angstrom
Ho 3.7211 1.8605 0.0000
Ho 7.4421 3.7211 -1.8605
Ho 1.8605 0.0000 3.7211
Ho 9.3027 0.0000 3.7211
Ho 0.0000 3.7211 1.8605
Ho 3.7211 -1.8605 7.4421
Ho 3.7211 9.3027 0.0000
Ho 7.4421 3.7211 5.5816
Ho -1.8605 7.4421 3.7211
Ho 5.5816 7.4421 3.7211
Ho 0.0000 3.7211 9.3027
Ho 3.7211 5.5816 7.4421
Si 0.0000 0.0000 0.0000
Si 3.7211 3.7211 -3.7211
Si 3.7211 -3.7211 3.7211
Si 7.4421 0.0000 0.0000
Si 11.1632 1.8605 0.0000
Si 7.4421 -3.7211 5.5816
Si 5.5816 7.4421 -3.7211
Si 5.5816 0.0000 3.7211
Si 3.7211 5.5816 0.0000
Si 7.4421 3.7211 1.8605
Si -3.7211 3.7211 3.7211
Si 0.0000 7.4421 0.0000
Si 0.0000 0.0000 7.4421
Si 3.7211 3.7211 3.7211
Si 0.0000 3.7211 5.5816
Si 3.7211 1.8605 7.4421
Si 1.8605 7.4421 3.7211
Si 1.8605 0.0000 11.1632
Si 0.0000 11.1632 1.8605
Si -3.7211 5.5816 7.4421
S 2.3134 -0.4558 0.8698
S 8.8498 4.5909 -4.1768
S 9.7555 0.4558 0.8698
S 8.8498 -2.8513 4.1768
S 6.9864 -0.8698 2.3134
S 11.6189 -1.4076 2.8513
S 0.8698 2.3134 -0.4558
S 10.2934 3.2653 -1.4076
S 4.5909 4.1768 -1.4076
S 6.5723 2.3134 0.4558
S -0.4558 0.8698 2.3134
S 4.1768 -1.4076 4.5909
S 6.9864 6.5723 -2.3134
S 4.1768 1.4076 2.8513
S 4.5909 -4.1768 8.8498
S 6.5723 -2.3134 6.9864
S 2.8513 4.1768 1.4076
S 8.3119 5.1287 0.4558
S 4.1768 8.8498 -2.8513
S 6.9864 0.8698 5.1287
S 2.3134 6.9864 -0.8698
S 8.8498 2.8513 3.2653
S 1.4076 2.8513 4.1768
S 2.3134 0.4558 6.5723
S 5.1287 6.9864 0.8698
S 6.0345 4.5909 3.2653
S -1.4076 4.5909 4.1768
S 5.1287 0.4558 8.3119
S 0.4558 6.5723 2.3134
S 3.2653 -1.4076 10.2934
S -0.8698 2.3134 6.9864
S 4.5909 3.2653 6.0345
S 0.8698 9.7555 0.4558
S 2.8513 11.6189 -1.4076
S 3.2653 6.0345 4.5909
S 0.4558 0.8698 9.7555
S 3.2653 8.8498 2.8513
S 7.8979 6.5723 5.1287
S 0.8698 5.1287 6.9864
S 2.8513 3.2653 8.8498
S -2.8513 4.1768 8.8498
S 6.5723 5.1287 7.8979
S -4.1768 8.8498 4.5909
S 0.4558 8.3119 5.1287
S -1.4076 10.2934 3.2653
S -2.3134 6.9864 6.5723
S -1.4076 2.8513 11.6189
S 5.1287 7.8979 6.5723
! - N(E_F): 1.3 states/eV/f.u.
! - Raw total energy: -5.469 eV per atom
! - Energy relative to the elements, uncorrected: -0.95 eV/atom
! - Total magnetic moment: 0.00 μB per formula unit

***

# 15
! LaNd2F11 (PBE, optimized geometry); values from VASP
&SYSTEM
  ibrav = 0, nat = 28, ntyp = 3
/
ATOMIC_SPECIES
La 138.91 La.upf
Nd 144.24 Nd.upf
F 19.00 F.upf
CELL_PARAMETERS angstrom
-4.3862 5.3034 5.9814
4.3862 -5.3034 5.9814
4.3862 5.3034 -5.9814
ATOMIC_POSITIONS angstrom
La 0.0000 0.0000 2.9907
La 0.0000 0.0000 8.9722
Nd 5.7946 2.0157 0.0000
Nd 1.4084 3.2877 0.0000
Nd 2.9778 2.0157 5.9814
Nd -1.4084 3.2877 5.9814
F 4.3862 0.0000 0.0000
F 5.3123 -3.4828 4.2872
F 1.7905 -0.8196 1.5639
F 5.3123 3.4828 -1.6942
F 3.4424 2.0121 0.0000
F 6.9819 0.8196 1.5639
F 2.5957 4.4838 -1.5639
F 3.4424 -2.0121 5.9814
F 0.9261 1.8206 1.6942
F 1.7905 0.8196 4.4175
F 5.3123 3.4828 1.6942
F 0.0000 5.3034 0.0000
F -0.9261 1.8206 4.2872
F 2.5957 4.4838 1.5639
F 3.4601 3.4828 4.2872
F 0.9438 7.3155 0.0000
F 1.7905 0.8196 7.5454
F -2.5957 4.4838 4.4175
F 0.9438 3.2913 5.9814
F -0.9261 1.8206 7.6757
F 2.5957 6.1229 4.4175
F -0.9261 8.7862 1.6942
! - N(E_F): 14.2 states/eV/f.u.
! - Raw total energy: -5.913 eV per atom
! - Energy relative to the elements, uncorrected: -3.41 eV/atom
! - Total magnetic moment: 2.13 μB per formula unit

***

# 16
! Cu2TePb2 (PBE, optimized geometry); values from VASP
&SYSTEM
  ibrav = 0, nat = 5, ntyp = 3
/
ATOMIC_SPECIES
Cu 63.55 Cu.upf
Te 127.60 Te.upf
Pb 207.20 Pb.upf
CELL_PARAMETERS angstrom
-1.8676 1.8676 8.6204
1.8676 -1.8676 8.6204
1.8676 1.8676 -8.6204
ATOMIC_POSITIONS angstrom
Cu 1.8676 0.0000 4.3102
Cu 0.0000 1.8676 4.3102
Te 0.0000 0.0000 0.0000
Pb 0.0000 0.0000 6.5710
Pb 0.0000 0.0000 10.6697
! - N(E_F): 2.4 states/eV/f.u.
! - Raw total energy: -3.556 eV per atom
! - Energy relative to the elements, uncorrected: 0.19 eV/atom
! - Total magnetic moment: 0.00 μB per formula unit

***

# 17
! CrNiAs (PBE, optimized geometry); values from VASP
&SYSTEM
  ibrav = 0, nat = 3, ntyp = 3
/
ATOMIC_SPECIES
Cr 52.00 Cr.upf
Ni 58.69 Ni.upf
As 74.92 As.upf
CELL_PARAMETERS angstrom
2.7808 0.0000 0.0000
-1.3904 2.4082 0.0000
0.0000 0.0000 5.8582
ATOMIC_POSITIONS angstrom
Cr 0.0000 0.0000 0.0000
Ni 0.0000 1.6055 1.9123
As 1.3904 0.8027 3.9146
! - N(E_F): 2.6 states/eV/f.u.
! - Formation enthalpy at 0 K: 0.234 eV per atom
! - Raw total energy: -6.451 eV per atom
! - Total magnetic moment: 0.95 μB per formula unit

***

# 18
! Si2Pt3 (PBE, optimized geometry); values from VASP
&SYSTEM
  ibrav = 0, nat = 10, ntyp = 2
/
ATOMIC_SPECIES
Si 28.09 Si.upf
Pt 195.08 Pt.upf
CELL_PARAMETERS angstrom
0.0000 6.0651 2.2723
5.6385 0.0000 2.2723
5.6385 6.0651 0.0000
ATOMIC_POSITIONS angstrom
Si 6.0605 3.9324 2.2723
Si 8.0358 6.9650 3.4085
Si 5.2166 8.1977 2.2723
Si 8.8798 11.2302 3.4085
Pt 7.1200 6.8382 1.1396
Pt 4.3007 2.2594 2.2757
Pt 4.1571 5.2919 1.1396
Pt 6.9764 9.8707 2.2757
Pt 5.6385 6.0651 3.3970
Pt 8.4578 9.0976 4.5331
! - N(E_F): 1.6 states/eV/f.u.
! - Raw total energy: -6.356 eV per atom
! - Energy relative to the elements, uncorrected: -0.56 eV/atom
! - Total magnetic moment: 0.00 μB per formula unit